*i*
Below is an optimized crystal structure of TaNbHg2, with properties calculated at the PBE-GGA level.

Output
Crystal system   cubic

abc: 4.7818 4.7818 4.7818
angles: 60.00 60.00 60.00
Positions (direct):
Nb (0.0000, 0.0000, 0.0000)
Hg (0.2500, 0.2500, 0.2500)
Hg (0.7500, 0.7500, 0.7500)
Ta (0.5000, 0.5000, 0.5000)

=====

*ii*
Below is an optimized crystal structure of TaNbHg2, with properties calculated at the PBE-GGA level.

Output
Crystal system   tetragonal

abc: 7.6781 7.6781 6.1329
angles: 51.25 51.25 90.00
Positions (direct):
Nb (0.5000, 0.5000, 0.0000)
Nb (0.2500, 0.7500, 0.5000)
Hg (0.6277, 0.1250, 0.2500)
Hg (0.1223, 0.6250, 0.2500)
Hg (0.3750, 0.3723, 0.7500)
Hg (0.8750, 0.8777, 0.7500)
Ta (0.0000, 0.0000, 0.0000)
Ta (0.7500, 0.2500, 0.5000)

=====

Tell me which of them is the least stable. Sure, it is *ii*.

=====

*i*
Below is an optimized crystal structure of TaNb3Hg, with properties calculated at the PBE-GGA level.

Output
Crystal system   cubic

abc: 4.9083 4.9083 4.9083
angles: 90.00 90.00 90.00
Positions (direct):
Nb (0.0000, 0.5000, 0.0000)
Nb (0.0000, 0.0000, 0.5000)
Nb (0.5000, 0.0000, 0.0000)
Hg (0.5000, 0.5000, 0.5000)
Ta (0.0000, 0.0000, 0.0000)

=====

*ii*
Below is an optimized crystal structure of TaNb3Hg, with properties calculated at the PBE-GGA level.

Output
Crystal system   cubic

abc: 4.9745 4.9745 4.9745
angles: 90.00 90.00 90.00
Positions (direct):
Nb (0.0000, 0.5000, 0.0000)
Nb (0.0000, 0.0000, 0.5000)
Nb (0.5000, 0.0000, 0.0000)
Hg (0.0000, 0.0000, 0.0000)
Ta (0.5000, 0.5000, 0.5000)

=====

Tell me which of them is the least stable. Sure, it is *ii*.

=====

*i*
Below is an optimized crystal structure of TaNb2Hg2, with properties calculated at the PBE-GGA level.

Output
Crystal system   tetragonal

abc: 8.1160 8.1160 3.0308
angles: 90.00 90.00 90.00
Positions (direct):
Nb (0.3794, 0.8794, 0.0000)
Nb (0.8794, 0.6206, 0.0000)
Nb (0.6206, 0.1206, 0.0000)
Nb (0.1206, 0.3794, 0.0000)
Hg (0.1763, 0.6763, 0.5000)
Hg (0.6763, 0.8237, 0.5000)
Hg (0.8237, 0.3237, 0.5000)
Hg (0.3237, 0.1763, 0.5000)
Ta (0.0000, 0.0000, 0.0000)
Ta (0.5000, 0.5000, 0.0000)

=====

*ii*
Below is an optimized crystal structure of TaNb2Hg2, with properties calculated at the PBE-GGA level.

Output
Crystal system   tetragonal

abc: 3.9044 3.9044 7.6101
angles: 75.14 75.14 90.00
Positions (direct):
Nb (0.4144, 0.4144, 0.1712)
Nb (0.5856, 0.5856, 0.8288)
Hg (0.7500, 0.2500, 0.5000)
Hg (0.2500, 0.7500, 0.5000)
Ta (0.0000, 0.0000, 0.0000)

=====

Tell me which of them is the least stable. Sure, it is *ii*.

=====

*i*
Below is an optimized crystal structure of NbTcHg2, with properties calculated at the PBE-GGA level.

Output
Crystal system   cubic

abc: 4.6981 4.6981 4.6981
angles: 60.00 60.00 60.00
Each line ends with the local moment (μB).
Positions (direct):
Nb (0.0000, 0.0000, 0.0000)  -0.12
Hg (0.2500, 0.2500, 0.2500)  0.01
Hg (0.7500, 0.7500, 0.7500)  0.01
Tc (0.5000, 0.5000, 0.5000)  0.87

=====

*ii*
Below is an optimized crystal structure of NbTcHg2, with properties calculated at the PBE-GGA level.

Output
Crystal system   tetragonal

abc: 7.6782 7.6782 6.0925
angles: 50.94 50.94 90.00
Each line ends with the local moment (μB).
Positions (direct):
Nb (0.5000, 0.5000, 0.0000)  -0.02
Nb (0.2500, 0.7500, 0.5000)  -0.02
Hg (0.6341, 0.1250, 0.2500)  0.00
Hg (0.1159, 0.6250, 0.2500)  0.01
Hg (0.3750, 0.3659, 0.7500)  0.00
Hg (0.8750, 0.8841, 0.7500)  0.01
Tc (0.0000, 0.0000, 0.0000)  1.17
Tc (0.7500, 0.2500, 0.5000)  1.17

=====

Tell me which of them is the least stable. Sure, it is *ii*.

=====

*i*
Below is an optimized crystal structure of Nb2HgTe, with properties calculated at the PBE-GGA level.

Output
Crystal system   cubic

abc: 4.8146 4.8146 4.8146
angles: 60.00 60.00 60.00
Positions (direct):
Nb (0.2500, 0.2500, 0.2500)
Nb (0.7500, 0.7500, 0.7500)
Te (0.0000, 0.0000, 0.0000)
Hg (0.5000, 0.5000, 0.5000)

=====

*ii*
Below is an optimized crystal structure of Nb2HgTe, with properties calculated at the PBE-GGA level.

Output
Crystal system   tetragonal

abc: 4.1742 4.1742 10.5945
angles: 78.64 78.64 90.00
Positions (direct):
Nb (0.6409, 0.1250, 0.2500)
Nb (0.1091, 0.6250, 0.2500)
Nb (0.3750, 0.3591, 0.7500)
Nb (0.8750, 0.8909, 0.7500)
Te (0.5000, 0.5000, 0.0000)
Te (0.2500, 0.7500, 0.5000)
Hg (0.0000, 0.0000, 0.0000)
Hg (0.7500, 0.2500, 0.5000)

=====

Tell me which of them is the least stable. Sure, it is *ii*.

=====

*i*
Below is an optimized crystal structure of Ti2Nb2Hg, with properties calculated at the PBE-GGA level.

Output
Crystal system   tetragonal

abc: 7.1888 7.1888 3.5535
angles: 90.00 90.00 90.00
Positions (direct):
Nb (0.1690, 0.6690, 0.5000)
Nb (0.6690, 0.8310, 0.5000)
Nb (0.8310, 0.3310, 0.5000)
Nb (0.3310, 0.1690, 0.5000)
Hg (0.0000, 0.0000, 0.0000)
Hg (0.5000, 0.5000, 0.0000)
Ti (0.3700, 0.8700, 0.0000)
Ti (0.8700, 0.6300, 0.0000)
Ti (0.6300, 0.1300, 0.0000)
Ti (0.1300, 0.3700, 0.0000)

=====

*ii*
Below is an optimized crystal structure of Ti2Nb2Hg, with properties calculated at the PBE-GGA level.

Output
Crystal system   monoclinic

abc: 4.4506 5.8712 7.8262
angles: 109.94 106.52 90.00
Positions (direct):
Ti (0.3944, 0.3866, 0.7888)
Ti (0.3944, 0.8866, 0.7888)
Ti (0.6056, 0.6134, 0.2112)
Ti (0.6056, 0.1134, 0.2112)
Nb (0.2082, 0.0321, 0.4164)
Nb (0.7918, 0.4679, 0.5836)
Nb (0.7918, 0.9679, 0.5836)
Nb (0.2082, 0.5321, 0.4164)
Hg (0.0000, 0.7500, 0.0000)
Hg (0.0000, 0.2500, 0.0000)

=====

Tell me which of them is the least stable. Sure, it is *i*.

=====

*i*
Below is an optimized crystal structure of Nb3TlHg, with properties calculated at the PBE-GGA level.

Output
Crystal system   cubic

abc: 5.1079 5.1079 5.1079
angles: 90.00 90.00 90.00
Positions (direct):
Tl (0.0000, 0.0000, 0.0000)
Hg (0.5000, 0.5000, 0.5000)
Nb (0.0000, 0.5000, 0.0000)
Nb (0.0000, 0.0000, 0.5000)
Nb (0.5000, 0.0000, 0.0000)

=====

*ii*
Below is an optimized crystal structure of Nb3TlHg, with properties calculated at the PBE-GGA level.

Output
Crystal system   cubic

abc: 5.0726 5.0726 5.0726
angles: 90.00 90.00 90.00
Positions (direct):
Tl (0.5000, 0.5000, 0.5000)
Hg (0.0000, 0.0000, 0.0000)
Nb (0.0000, 0.5000, 0.0000)
Nb (0.0000, 0.0000, 0.5000)
Nb (0.5000, 0.0000, 0.0000)

=====

Tell me which of them is the least stable. Sure, it is *i*.

=====

*i*
Below is an optimized crystal structure of Nb3VHg, with properties calculated at the PBE-GGA level.

Output
Crystal system   cubic

abc: 5.0444 5.0444 5.0444
angles: 90.00 90.00 90.00
Each line ends with the local moment (μB).
Positions (direct):
Nb (0.0000, 0.5000, 0.0000)  -0.45
Nb (0.0000, 0.0000, 0.5000)  -0.45
Nb (0.5000, 0.0000, 0.0000)  -0.45
Hg (0.0000, 0.0000, 0.0000)  -0.02
V (0.5000, 0.5000, 0.5000)  2.63

=====

*ii*
Below is an optimized crystal structure of Nb3VHg, with properties calculated at the PBE-GGA level.

Output
Crystal system   cubic

abc: 4.6613 4.6613 4.6613
angles: 90.00 90.00 90.00
Positions (direct):
Nb (0.0000, 0.5000, 0.0000)
Nb (0.0000, 0.0000, 0.5000)
Nb (0.5000, 0.0000, 0.0000)
Hg (0.5000, 0.5000, 0.5000)
V (0.0000, 0.0000, 0.0000)

=====

Tell me which of them is the least stable. Sure, it is *i*.

=====

*i*
Below is an optimized crystal structure of NbHgW3, with properties calculated at the PBE-GGA level.

Output
Crystal system   cubic

abc: 4.7929 4.7929 4.7929
angles: 90.00 90.00 90.00
Positions (direct):
Nb (0.0000, 0.0000, 0.0000)
Hg (0.5000, 0.5000, 0.5000)
W (0.0000, 0.5000, 0.0000)
W (0.0000, 0.0000, 0.5000)
W (0.5000, 0.0000, 0.0000)

=====

*ii*
Below is an optimized crystal structure of NbHgW3, with properties calculated at the PBE-GGA level.

Output
Crystal system   cubic

abc: 4.8571 4.8571 4.8571
angles: 90.00 90.00 90.00
Positions (direct):
Nb (0.5000, 0.5000, 0.5000)
Hg (0.0000, 0.0000, 0.0000)
W (0.0000, 0.5000, 0.0000)
W (0.0000, 0.0000, 0.5000)
W (0.5000, 0.0000, 0.0000)

=====

Tell me which of them is the least stable. Sure, it is *ii*.

=====

*i*
Below is an optimized crystal structure of YNbHg2, with properties calculated at the PBE-GGA level.

Output
Crystal system   cubic

abc: 5.0222 5.0222 5.0222
angles: 60.00 60.00 60.00
Positions (direct):
Y (0.0000, 0.0000, 0.0000)
Nb (0.5000, 0.5000, 0.5000)
Hg (0.2500, 0.2500, 0.2500)
Hg (0.7500, 0.7500, 0.7500)

=====

*ii*
Below is an optimized crystal structure of YNbHg2, with properties calculated at the PBE-GGA level.

Output
Crystal system   tetragonal

abc: 4.4488 4.4488 10.8232
angles: 78.14 78.14 90.00
Each line ends with the local moment (μB).
Positions (direct):
Y (0.5000, 0.5000, 0.0000)  0.14
Y (0.2500, 0.7500, 0.5000)  0.14
Nb (0.0000, 0.0000, 0.0000)  1.39
Nb (0.7500, 0.2500, 0.5000)  1.39
Hg (0.6532, 0.1250, 0.2500)  0.03
Hg (0.0968, 0.6250, 0.2500)  0.03
Hg (0.3750, 0.3468, 0.7500)  0.03
Hg (0.8750, 0.9032, 0.7500)  0.03

=====

Tell me which of them is the least stable. Sure, it is *ii*.

=====

*i*
Below is an optimized crystal structure of Y2Nb2Hg, with properties calculated at the PBE-GGA level.

Output
Crystal system   tetragonal

abc: 7.5025 7.5025 4.3013
angles: 90.00 90.00 90.00
Positions (direct):
Y (0.1746, 0.6746, 0.5000)
Y (0.6746, 0.8254, 0.5000)
Y (0.8254, 0.3254, 0.5000)
Y (0.3254, 0.1746, 0.5000)
Nb (0.3775, 0.8775, 0.0000)
Nb (0.8775, 0.6225, 0.0000)
Nb (0.6225, 0.1225, 0.0000)
Nb (0.1225, 0.3775, 0.0000)
Hg (0.0000, 0.0000, 0.0000)
Hg (0.5000, 0.5000, 0.0000)

=====

*ii*
Below is an optimized crystal structure of Y2Nb2Hg, with properties calculated at the PBE-GGA level.

Output
Crystal system   tetragonal

abc: 3.8163 3.8163 9.2674
angles: 78.12 78.12 90.00
Positions (direct):
Y (0.3951, 0.3951, 0.2099)
Y (0.6049, 0.6049, 0.7901)
Nb (0.7500, 0.2500, 0.5000)
Nb (0.2500, 0.7500, 0.5000)
Hg (0.0000, 0.0000, 0.0000)

=====

Tell me which of them is the least stable. Sure, it is *ii*.

=====

*i*
Below is an optimized crystal structure of Nb2ZnHg, with properties calculated at the PBE-GGA level.

Output
Crystal system   tetragonal

abc: 7.5187 7.5187 5.9721
angles: 50.99 50.99 90.00
Positions (direct):
Zn (0.5000, 0.5000, 0.0000)
Zn (0.2500, 0.7500, 0.5000)
Nb (0.6127, 0.1250, 0.2500)
Nb (0.1373, 0.6250, 0.2500)
Nb (0.3750, 0.3873, 0.7500)
Nb (0.8750, 0.8627, 0.7500)
Hg (0.0000, 0.0000, 0.0000)
Hg (0.7500, 0.2500, 0.5000)

=====

*ii*
Below is an optimized crystal structure of Nb2ZnHg, with properties calculated at the PBE-GGA level.

Output
Crystal system   cubic

abc: 4.6744 4.6744 4.6744
angles: 60.00 60.00 60.00
Positions (direct):
Zn (0.0000, 0.0000, 0.0000)
Nb (0.2500, 0.2500, 0.2500)
Nb (0.7500, 0.7500, 0.7500)
Hg (0.5000, 0.5000, 0.5000)

=====

Tell me which of them is the least stable. Sure, it is *i*.

=====

*i*
Below is an optimized crystal structure of NbZnHg3, with properties calculated at the PBE-GGA level.

Output
Crystal system   cubic

abc: 4.9090 4.9090 4.9090
angles: 90.00 90.00 90.00
Positions (direct):
Zn (0.0000, 0.0000, 0.0000)
Nb (0.5000, 0.5000, 0.5000)
Hg (0.0000, 0.5000, 0.0000)
Hg (0.0000, 0.0000, 0.5000)
Hg (0.5000, 0.0000, 0.0000)

=====

*ii*
Below is an optimized crystal structure of NbZnHg3, with properties calculated at the PBE-GGA level.

Output
Crystal system   cubic

abc: 5.6634 5.6634 5.6634
angles: 90.00 90.00 90.00
Each line ends with the local moment (μB).
Positions (direct):
Zn (0.5000, 0.5000, 0.5000)  0.06
Nb (0.0000, 0.0000, 0.0000)  2.56
Hg (0.0000, 0.5000, 0.0000)  0.11
Hg (0.0000, 0.0000, 0.5000)  0.06
Hg (0.5000, 0.0000, 0.0000)  0.14

=====

Tell me which of them is the least stable. Sure, it is *i*.